1.
The following is a PBE calculation of TaPdSeBr2 after structural relaxation, from Alexandria via LeMat-Bulk.

N(E_F)   4.611 states/eV per cell
Raw formation energy   842.7 meV/atom
Raw total energy   -0.2890 Ry per atom

Unit cell a=4.949 b=4.949 c=5.087 alpha=90.00 beta=90.00 gamma=90.00
Each line ends with the local moment (μB).
Positions (direct):
1 Br 0.500 0.000 0.000  -0.04
2 Br 0.000 0.500 0.000  -0.04
3 Se 0.000 0.000 0.500  -0.15
4 Ta 0.500 0.500 0.500  2.06
5 Pd 0.000 0.000 0.000  -0.03



2.
The following is a PBE calculation of Tb4PdSe2Br after structural relaxation, from Alexandria via LeMat-Bulk.

N(E_F)   4.503 states/eV per cell
Raw formation energy   -1340.1 meV/atom
Raw total energy   -0.3958 Ry per atom

Unit cell a=3.974 b=7.298 c=7.225 alpha=72.20 beta=90.00 gamma=90.00
Positions (direct):
1 Se 0.000 0.000 0.000
2 Se 0.500 0.000 0.500
3 Tb 0.000 0.260 0.230
4 Tb 0.000 0.740 0.770
5 Tb 0.500 0.765 0.231
6 Tb 0.500 0.235 0.769
7 Br 0.000 0.500 0.500
8 Pd 0.500 0.500 0.000



3.
The following is a PBE calculation of TcPd2SeBr after structural relaxation, from Alexandria via LeMat-Bulk.

N(E_F)   3.994 states/eV per cell
Raw formation energy   1030.4 meV/atom
Raw total energy   -0.3051 Ry per atom

Unit cell a=4.756 b=4.847 c=4.756 alpha=90.00 beta=90.00 gamma=90.00
Each line ends with the local moment (μB).
Positions (direct):
1 Pd 0.000 0.000 0.500  0.12
2 Pd 0.500 0.000 0.000  0.01
3 Se 0.500 0.500 0.500  0.03
4 Br 0.000 0.000 0.000  0.04
5 Tc 0.000 0.500 0.000  2.62